1 | Below is crystalline SbPd6Pt at its relaxed geometry, with properties calculated at the PBE level.

SG	C2/m
Fermi-level density of states	7.21	states/eV per cell

a b c (Å): 5.6700 5.6700 10.7972
angles (deg): 122.28 122.28 108.56
Fractional positions:
1 Sb 0.0000 0.0000 0.0000
2 Pd 0.7340 0.7340 0.2411
3 Pd 0.7469 0.2527 0.7485
4 Pd 0.2660 0.2660 0.7589
5 Pd 0.7473 0.2531 0.2515
6 Pd 0.2531 0.7473 0.2515
7 Pd 0.2527 0.7469 0.7485
8 Pt 0.5000 0.5000 0.5000



2 | Below is crystalline SbPd6Pt at its relaxed geometry, with properties calculated at the PBE level.

SG	P-1
Fermi-level density of states	7.56	states/eV per cell

a b c (Å): 6.9988 7.0491 5.1245
angles (deg): 46.76 46.62 64.22
Fractional positions:
1 Sb 0.0000 0.0000 0.0000
2 Pd 0.9554 0.5579 0.7401
3 Pd 0.7464 0.0484 0.6473
4 Pd 0.5537 0.2540 0.1477
5 Pd 0.2536 0.9516 0.3527
6 Pd 0.0446 0.4421 0.2599
7 Pd 0.4463 0.7460 0.8523
8 Pt 0.5000 0.5000 0.5000



In terms of stability, 1 leads; the second structure lies 15 meV/atom higher.